[1]
## TmSc3Pd (PBE-GGA)

Data for crystalline TmSc3Pd at its relaxed geometry.

Cell lengths 3.5819, 9.7988, 13.3458 Å; angles 90.00, 90.00, 90.00 degrees
Last column: nearest neighbours and their distance in Å.
Fractional positions:
Tm (0.7500, 0.8425, 0.9797)  2 Pd 3.18, 7 Sc 3.29-3.55
Tm (0.2500, 0.6575, 0.4797)  2 Pd 3.18, 7 Sc 3.29-3.55
Tm (0.7500, 0.3425, 0.5203)  2 Pd 3.18, 7 Sc 3.29-3.55
Tm (0.2500, 0.1575, 0.0203)  2 Pd 3.18, 7 Sc 3.29-3.55
Sc (0.2500, 0.5829, 0.0868)  3 Pd 2.73-2.90
Sc (0.7500, 0.4171, 0.9132)  3 Pd 2.73-2.90
Sc (0.2500, 0.0829, 0.4132)  3 Pd 2.73-2.90
Sc (0.7500, 0.9171, 0.5868)  3 Pd 2.73-2.90
Sc (0.2500, 0.3557, 0.7270)  1 Pd 2.66
Sc (0.7500, 0.1443, 0.2270)  1 Pd 2.66
Sc (0.2500, 0.8557, 0.7730)  1 Pd 2.66
Sc (0.7500, 0.6128, 0.6976)  2 Pd 2.93, 4 Sc 3.12-3.14
Sc (0.2500, 0.3872, 0.3024)  2 Pd 2.93, 4 Sc 3.12-3.14
Sc (0.7500, 0.1128, 0.8024)  2 Pd 2.93, 4 Sc 3.12-3.14
Sc (0.7500, 0.6443, 0.2730)  1 Pd 2.66
Sc (0.2500, 0.8872, 0.1976)  2 Pd 2.93, 4 Sc 3.12-3.14
Pd (0.2500, 0.1186, 0.6292)  6 Sc 2.66-2.93
Pd (0.2500, 0.6186, 0.8708)  6 Sc 2.66-2.93
Pd (0.7500, 0.3814, 0.1292)  6 Sc 2.66-2.93
Pd (0.7500, 0.8814, 0.3708)  6 Sc 2.66-2.93

## Properties
For the total magnetization, the calculation gives 1.947 Bohr magnetons per cell. For the density of states at the Fermi level, the calculation gives 23.99 states/eV per cell. The symmetry is Pnma. The calculated total energy comes out at -121.20 eV per cell.

[2]
## Sm5Pt3 (PBE-GGA)

Data for crystalline Sm5Pt3 at its relaxed geometry.

Cell lengths 6.6010, 11.2644, 11.2644 Å; angles 90.00, 90.00, 90.00 degrees
Last column: nearest neighbours and their distance in Å.
Fractional positions:
Sm (0.3786, 0.2933, 0.0907)  5 Pt 2.99-3.28
Sm (0.8786, 0.2933, 0.9093)  5 Pt 2.99-3.28
Sm (0.8786, 0.7067, 0.0907)  5 Pt 2.99-3.28
Sm (0.3786, 0.7067, 0.9093)  5 Pt 2.99-3.28
Sm (0.8786, 0.5907, 0.7933)  5 Pt 2.99-3.28
Sm (0.3786, 0.5907, 0.2067)  5 Pt 2.99-3.28
Sm (0.3786, 0.4093, 0.7933)  5 Pt 2.99-3.28
Sm (0.8786, 0.4093, 0.2067)  5 Pt 2.99-3.28
Sm (0.6214, 0.2067, 0.4093)  5 Pt 2.99-3.28
Sm (0.1214, 0.2067, 0.5907)  5 Pt 2.99-3.28
Sm (0.1214, 0.7933, 0.4093)  5 Pt 2.99-3.28
Sm (0.6214, 0.7933, 0.5907)  5 Pt 2.99-3.28
Sm (0.1214, 0.9093, 0.7067)  5 Pt 2.99-3.28
Sm (0.6214, 0.9093, 0.2933)  5 Pt 2.99-3.28
Sm (0.6214, 0.0907, 0.7067)  5 Pt 2.99-3.28
Sm (0.1214, 0.0907, 0.2933)  5 Pt 2.99-3.28
Sm (0.5000, 0.0000, 0.0000)  4 Pt 2.95, 2 Sm 3.30
Sm (0.0000, 0.0000, 0.0000)  4 Pt 2.95, 2 Sm 3.30
Sm (0.0000, 0.5000, 0.5000)  4 Pt 2.95, 2 Sm 3.30
Sm (0.5000, 0.5000, 0.5000)  4 Pt 2.95, 2 Sm 3.30
Pt (0.2500, 0.8462, 0.1538)  8 Sm 2.95-3.28
Pt (0.7500, 0.8462, 0.8462)  8 Sm 2.95-3.28
Pt (0.7500, 0.1538, 0.1538)  8 Sm 2.95-3.28
Pt (0.2500, 0.1538, 0.8462)  8 Sm 2.95-3.28
Pt (0.7500, 0.6538, 0.3462)  8 Sm 2.95-3.28
Pt (0.2500, 0.6538, 0.6538)  8 Sm 2.95-3.28
Pt (0.2500, 0.3462, 0.3462)  8 Sm 2.95-3.28
Pt (0.7500, 0.3462, 0.6538)  8 Sm 2.95-3.28
Pt (0.1176, 0.5000, 0.0000)  8 Sm 2.99-3.07, 2 Pt 3.30
Pt (0.6176, 0.5000, 0.0000)  8 Sm 2.99-3.07, 2 Pt 3.30
Pt (0.8824, 0.0000, 0.5000)  8 Sm 2.99-3.07, 2 Pt 3.30
Pt (0.3824, 0.0000, 0.5000)  8 Sm 2.99-3.07, 2 Pt 3.30

## Properties
For the total magnetization, the calculation gives 0.000 Bohr magnetons per cell. For the density of states at the Fermi level, the calculation gives 30.99 states/eV per cell. The symmetry is P4/ncc. The calculated total energy comes out at -197.27 eV per cell. The value obtained for the energy relative to the lowest polymorph listed for this composition is 0.000 eV per atom.

[3]
## Li3CuRh3 (PBE-GGA)

Data for crystalline Li3CuRh3 at its relaxed geometry.

Cell lengths 2.7149, 8.9905, 11.5634 Å; angles 137.74, 89.94, 90.05 degrees
Last column: nearest neighbours and their distance in Å.
Fractional positions:
Li (0.7502, 0.6667, 0.5644)  6 Li 2.54-2.71, 4 Rh 2.61-2.66, 1 Cu 2.83
Li (0.7493, 0.3926, 0.8574)  4 Rh 2.58-2.76, 6 Li 2.65-2.74, 2 Cu 2.67
Li (0.2508, 0.0187, 0.7048)  3 Cu 2.60-2.72, 6 Li 2.62-2.74, 3 Rh 2.67-2.70
Li (0.7492, 0.9813, 0.2952)  3 Cu 2.60-2.72, 6 Li 2.62-2.74, 3 Rh 2.67-2.70
Li (0.2498, 0.3333, 0.4356)  6 Li 2.54-2.71, 4 Rh 2.61-2.66, 1 Cu 2.83
Li (0.2507, 0.6074, 0.1426)  4 Rh 2.58-2.76, 6 Li 2.65-2.74, 2 Cu 2.67
Cu (0.7504, 0.8344, 0.4326)  4 Cu 2.50-2.71, 2 Rh 2.59-2.60, 5 Li 2.60-2.72
Cu (0.2496, 0.1656, 0.5674)  4 Cu 2.50-2.71, 2 Rh 2.59-2.60, 5 Li 2.60-2.72
Rh (0.7510, 0.2396, 0.9941)  7 Rh 2.66-2.73, 5 Li 2.67-2.76
Rh (0.2505, 0.8742, 0.8430)  3 Li 2.61-2.70, 9 Rh 2.68-2.83
Rh (0.2503, 0.4838, 0.2855)  4 Li 2.58-2.89, 2 Cu 2.59-2.60, 6 Rh 2.66-2.71
Rh (0.7497, 0.5162, 0.7145)  4 Li 2.58-2.89, 2 Cu 2.59-2.60, 6 Rh 2.66-2.71
Rh (0.7495, 0.1258, 0.1570)  3 Li 2.61-2.70, 9 Rh 2.68-2.83
Rh (0.2490, 0.7604, 0.0059)  7 Rh 2.66-2.73, 5 Li 2.67-2.76

## Properties
For the total magnetization, the calculation gives 0.000 Bohr magnetons per cell. For the density of states at the Fermi level, the calculation gives 12.83 states/eV per cell. The symmetry is P2_1/m. The calculated total energy comes out at -64.56 eV per cell. The value obtained for the energy relative to the lowest polymorph listed for this composition is 0.000 eV per atom.

[4]
## Sm2DyY4Sc (PBE-GGA)

Data for crystalline Sm2DyY4Sc at its relaxed geometry.

Cell lengths 5.0163, 5.0206, 11.1876 Å; angles 63.34, 90.00, 90.00 degrees
Last column: nearest neighbours and their distance in Å.
Fractional positions:
Sm (0.0000, 0.0000, 0.0000)  4 Dy 3.55, 8 Y 3.57-3.58
Sm (0.5000, 0.0000, 0.5000)  8 Y 3.51, 4 Sc 3.55
Dy (0.5000, 0.5000, 0.0000)  4 Sm 3.55, 8 Y 3.57-3.58
Y (0.0000, 0.7550, 0.7453)  4 Sm 3.51-3.58, 2 Sc 3.51, 4 Y 3.55, 2 Dy 3.57
Y (0.0000, 0.2450, 0.2547)  4 Sm 3.51-3.58, 2 Sc 3.51, 4 Y 3.55, 2 Dy 3.57
Y (0.5000, 0.7452, 0.2547)  2 Sc 3.51, 4 Sm 3.51-3.57, 4 Y 3.55, 2 Dy 3.58
Y (0.5000, 0.2548, 0.7453)  2 Sc 3.51, 4 Sm 3.51-3.57, 4 Y 3.55, 2 Dy 3.58
Sc (0.0000, 0.5000, 0.5000)  8 Y 3.51, 4 Sm 3.55

## Properties
For the total magnetization, the calculation gives 0.000 Bohr magnetons per cell. For the density of states at the Fermi level, the calculation gives 12.25 states/eV per cell. The symmetry is P4/mmm. The calculated total energy comes out at -45.94 eV per cell.

[5]
## Sm2Al5Ni2Rh (PBE-GGA)

Data for crystalline Sm2Al5Ni2Rh at its relaxed geometry.

Cell lengths 3.5419, 9.9107, 9.9107 Å; angles 90.00, 90.00, 90.00 degrees
Last column: nearest neighbours and their distance in Å.
Fractional positions:
Sm (0.0000, 0.6853, 0.1853)  3 Ni 2.79-3.06
Sm (0.0000, 0.3147, 0.8147)  3 Ni 2.79-3.06
Sm (0.0000, 0.1853, 0.3147)  3 Ni 2.79-3.06
Sm (0.0000, 0.8147, 0.6853)  3 Ni 2.79-3.06
Al (0.5000, 0.1972, 0.0500)  2 Ni 2.65, 2 Rh 2.68, 2 Al 2.85
Al (0.5000, 0.8028, 0.9500)  2 Ni 2.65, 2 Rh 2.68, 2 Al 2.85
Al (0.5000, 0.0500, 0.8028)  2 Ni 2.65, 2 Rh 2.68, 2 Al 2.85
Al (0.5000, 0.6972, 0.4500)  2 Ni 2.65, 2 Rh 2.68, 2 Al 2.85
Al (0.5000, 0.9500, 0.1972)  2 Ni 2.65, 2 Rh 2.68, 2 Al 2.85
Al (0.5000, 0.3028, 0.5500)  2 Ni 2.65, 2 Rh 2.68, 2 Al 2.85
Al (0.5000, 0.5500, 0.6972)  2 Ni 2.65, 2 Rh 2.68, 2 Al 2.85
Al (0.5000, 0.4500, 0.3028)  2 Ni 2.65, 2 Rh 2.68, 2 Al 2.85
Al (0.5000, 0.5000, 0.0000)  4 Ni 2.40
Al (0.5000, 0.0000, 0.5000)  4 Ni 2.40
Ni (0.0000, 0.1157, 0.6157)  6 Al 2.40-2.65
Ni (0.0000, 0.8843, 0.3843)  6 Al 2.40-2.65
Ni (0.0000, 0.6157, 0.8843)  6 Al 2.40-2.65
Ni (0.0000, 0.3843, 0.1157)  6 Al 2.40-2.65
Rh (0.0000, 0.0000, 0.0000)  8 Al 2.68
Rh (0.0000, 0.5000, 0.5000)  8 Al 2.68

## Properties
For the total magnetization, the calculation gives 0.000 Bohr magnetons per cell. For the density of states at the Fermi level, the calculation gives 18.05 states/eV per cell. The symmetry is P4/mbm. The calculated total energy comes out at -104.78 eV per cell.

[6]
## Pm2SmDy4Ho (PBE-GGA)

Data for crystalline Pm2SmDy4Ho at its relaxed geometry.

Cell lengths 9.5202, 9.5202, 11.8222 Å; angles 128.38, 128.38, 88.42 degrees
Last column: nearest neighbours and their distance in Å.
Fractional positions:
Pm (0.5000, 0.0000, 0.0000)  6 Dy 3.32-3.41, 2 Sm 3.41
Pm (0.5000, 0.0000, 0.5000)  6 Dy 3.32-3.41, 2 Sm 3.41
Pm (0.0000, 0.0000, 0.5000)  6 Dy 3.36-3.45, 2 Pm 3.41
Pm (0.5000, 0.5000, 0.0000)  6 Dy 3.36-3.45, 2 Pm 3.41
Sm (0.0000, 0.5000, 0.0000)  6 Dy 3.32-3.41, 2 Pm 3.41
Sm (0.0000, 0.5000, 0.5000)  6 Dy 3.32-3.41, 2 Pm 3.41
Dy (0.2464, 0.7531, 0.9998)  1 Ho 3.27, 3 Pm 3.36-3.41, 2 Dy 3.41, 2 Sm 3.41
Dy (0.7469, 0.2536, 0.5002)  1 Ho 3.27, 3 Pm 3.36-3.41, 2 Dy 3.41, 2 Sm 3.41
Dy (0.2531, 0.7464, 0.4998)  1 Ho 3.27, 3 Pm 3.36-3.41, 2 Dy 3.41, 2 Sm 3.41
Dy (0.7536, 0.2469, 0.0002)  1 Ho 3.27, 3 Pm 3.36-3.41, 2 Dy 3.41, 2 Sm 3.41
Dy (0.7484, 0.7481, 0.9951)  1 Sm 3.32, 3 Pm 3.32-3.45, 2 Ho 3.37-3.39, 2 Dy 3.41
Dy (0.7519, 0.7516, 0.5049)  1 Sm 3.32, 3 Pm 3.32-3.45, 2 Ho 3.37-3.39, 2 Dy 3.41
Dy (0.2481, 0.2484, 0.4951)  1 Sm 3.32, 3 Pm 3.32-3.45, 2 Ho 3.37-3.39, 2 Dy 3.41
Dy (0.2516, 0.2519, 0.0049)  1 Sm 3.32, 3 Pm 3.32-3.45, 2 Ho 3.37-3.39, 2 Dy 3.41
Ho (0.5000, 0.5000, 0.5000)  6 Dy 3.27-3.39, 2 Ho 3.41
Ho (0.0000, 0.0000, 0.0000)  6 Dy 3.27-3.39, 2 Ho 3.41

## Properties
For the total magnetization, the calculation gives 6.113 Bohr magnetons per cell. For the density of states at the Fermi level, the calculation gives 35.86 states/eV per cell. The symmetry is C2/c. The calculated total energy comes out at -67.67 eV per cell.

The following ΔH_f (0 K) values (in meV per atom) correspond, in order, to the records above: -328 -950 -56 35 -533 422.